K2InPb at its PBEsol-relaxed geometry. Source: Alexandria, functional meta-GGA SCAN.

Results
The value obtained for the excess energy over the best structure of this formula in the dataset is 156 meV per atom. The value obtained for the density is 5.006 g/cm³. For the calculated total energy, the calculation gives -126.17 eV per cell.

abc: 3.4090 3.4090 11.4232
angles: 90.00 90.00 90.25
Closest atoms and distances in Å follow each position.
Fractional positions:
1 In 0.5000 0.5000 0.0000  4 In 3.41, 8 K 3.75-3.76
2 K 0.0000 0.0000 0.2518  4 K 3.41, 4 Pb 3.72, 4 In 3.75-3.76
3 K 0.0000 0.0000 0.7482  4 K 3.41, 4 Pb 3.72, 4 In 3.75-3.76
4 Pb 0.5000 0.5000 0.5000  4 Pb 3.41, 8 K 3.72


KIn2Pb2 at its PBEsol-relaxed geometry. Source: Alexandria, functional meta-GGA SCAN.

Results
The value obtained for the excess energy over the best structure of this formula in the dataset is 84 meV per atom. The value obtained for the density is 7.443 g/cm³. For the calculated total energy, the calculation gives -454.51 eV per cell.

abc: 3.5330 9.2884 9.2884
angles: 90.00 90.00 90.00
Closest atoms and distances in Å follow each position.
Fractional positions:
1 Pb 0.0000 0.3605 0.8605  6 In 3.23-3.27, 2 Pb 3.53, 2 K 3.59
2 Pb 0.0000 0.8605 0.6395  6 In 3.23-3.27, 2 Pb 3.53, 2 K 3.59
3 Pb 0.0000 0.6395 0.1395  6 In 3.23-3.27, 2 Pb 3.53, 2 K 3.59
4 Pb 0.0000 0.1395 0.3605  6 In 3.23-3.27, 2 Pb 3.53, 2 K 3.59
5 K 0.0000 0.0000 0.0000  2 K 3.53, 4 Pb 3.59, 8 In 3.95
6 K 0.0000 0.5000 0.5000  2 K 3.53, 4 Pb 3.59, 8 In 3.95
7 In 0.5000 0.1509 0.6509  6 Pb 3.23-3.27, 2 In 3.53
8 In 0.5000 0.6509 0.8491  6 Pb 3.23-3.27, 2 In 3.53
9 In 0.5000 0.8491 0.3491  6 Pb 3.23-3.27, 2 In 3.53
10 In 0.5000 0.3491 0.1509  6 Pb 3.23-3.27, 2 In 3.53


K5InPb8 at its PBEsol-relaxed geometry. Source: Alexandria, functional meta-GGA SCAN.

Results
The value obtained for the density is 6.629 g/cm³. For the calculated total energy, the calculation gives -686.15 eV per cell.

abc: 6.7605 6.7605 13.0512
angles: 74.99 74.99 60.00
Closest atoms and distances in Å follow each position.
Fractional positions:
1 K 0.6824 0.6824 0.9529  9 Pb 3.61-3.86, 1 K 3.64, 3 In 3.95
2 K 0.5000 0.5000 0.5000  12 Pb 4.16-4.25, 6 K 4.39
3 K 0.2203 0.2203 0.3390  7 Pb 3.44-3.82, 1 K 3.64
4 K 0.3176 0.3176 0.0471  9 Pb 3.61-3.86, 1 K 3.64, 3 In 3.95
5 K 0.7797 0.7797 0.6610  7 Pb 3.44-3.82, 1 K 3.64
6 In 0.0000 0.0000 0.0000  6 Pb 3.14
7 Pb 0.2327 0.2327 0.8031  5 Pb 3.05-3.39, 1 In 3.14
8 Pb 0.1282 0.1282 0.6153  3 Pb 3.05
9 Pb 0.7673 0.2685 0.1969  5 Pb 3.05-3.39, 1 In 3.14
10 Pb 0.7315 0.2327 0.8031  5 Pb 3.05-3.39, 1 In 3.14
11 Pb 0.8718 0.8718 0.3847  3 Pb 3.05
12 Pb 0.2327 0.7315 0.8031  5 Pb 3.05-3.39, 1 In 3.14
13 Pb 0.2685 0.7673 0.1969  5 Pb 3.05-3.39, 1 In 3.14
14 Pb 0.7673 0.7673 0.1969  5 Pb 3.05-3.39, 1 In 3.14


KIn3Pd at its PBEsol-relaxed geometry. Source: Alexandria, functional meta-GGA SCAN.

Results
The value obtained for the density is 5.809 g/cm³. For the calculated total energy, the calculation gives -142.41 eV per cell.

abc: 5.1934 5.1934 5.1934
angles: 90.00 90.00 90.00
Closest atoms and distances in Å follow each position.
Fractional positions:
1 K 0.5000 0.5000 0.5000  12 In 3.67
2 Pd 0.0000 0.0000 0.0000  6 In 2.60
3 In 0.0000 0.5000 0.0000  2 Pd 2.60
4 In 0.0000 0.0000 0.5000  2 Pd 2.60
5 In 0.5000 0.0000 0.0000  2 Pd 2.60


K2InPt2 at its PBEsol-relaxed geometry. Source: Alexandria, functional meta-GGA SCAN.

Results
The value obtained for the density is 7.748 g/cm³. For the calculated total energy, the calculation gives -383.52 eV per cell.

abc: 5.4169 6.7934 6.7934
angles: 90.00 90.00 90.00
Closest atoms and distances in Å follow each position.
Fractional positions:
1 K 0.5000 0.1717 0.6717  6 Pt 3.30-3.42, 5 K 3.30-3.56
2 K 0.5000 0.6717 0.8283  6 Pt 3.30-3.42, 5 K 3.30-3.56
3 K 0.5000 0.8283 0.3283  6 Pt 3.30-3.42, 5 K 3.30-3.56
4 K 0.5000 0.3283 0.1717  6 Pt 3.30-3.42, 5 K 3.30-3.56
5 Pt 0.0000 0.3671 0.8671  1 Pt 2.55, 2 In 2.65
6 Pt 0.0000 0.8671 0.6329  1 Pt 2.55, 2 In 2.65
7 Pt 0.0000 0.6329 0.1329  1 Pt 2.55, 2 In 2.65
8 Pt 0.0000 0.1329 0.3671  1 Pt 2.55, 2 In 2.65
9 In 0.0000 0.0000 0.0000  4 Pt 2.65
10 In 0.0000 0.5000 0.5000  4 Pt 2.65


KIn3Pt at its PBEsol-relaxed geometry. Source: Alexandria, functional meta-GGA SCAN.

Results
The value obtained for the density is 6.794 g/cm³. For the calculated total energy, the calculation gives -180.15 eV per cell.

abc: 5.2101 5.2101 5.2101
angles: 90.00 90.00 90.00
Closest atoms and distances in Å follow each position.
Fractional positions:
1 K 0.5000 0.5000 0.5000  12 In 3.68
2 Pt 0.0000 0.0000 0.0000  6 In 2.61
3 In 0.0000 0.5000 0.0000  2 Pt 2.61
4 In 0.0000 0.0000 0.5000  2 Pt 2.61
5 In 0.5000 0.0000 0.0000  2 Pt 2.61


KInPt2 at its PBEsol-relaxed geometry. Source: Alexandria, functional meta-GGA SCAN.

Results
The value obtained for the density is 11.326 g/cm³. For the calculated total energy, the calculation gives -182.66 eV per cell.

abc: 2.8295 5.1194 6.2285
angles: 114.10 103.13 90.00
Closest atoms and distances in Å follow each position.
Fractional positions:
1 In 0.4609 0.4611 0.9217  6 Pt 2.75-3.05, 2 In 2.83
2 K 0.2551 0.7556 0.5102  2 K 2.83, 4 Pt 2.93
3 Pt 0.0378 0.0364 0.0756  4 Pt 2.70-2.83
4 Pt 0.7463 0.2468 0.4925  4 Pt 2.70-2.83, 2 In 2.75, 4 K 2.93


K2InPt at its PBEsol-relaxed geometry. Source: Alexandria, functional meta-GGA SCAN.

Results
The value obtained for the density is 4.203 g/cm³. For the calculated total energy, the calculation gives -121.47 eV per cell.

abc: 4.5733 4.5733 8.8678
angles: 75.06 75.06 60.00
Closest atoms and distances in Å follow each position.
Fractional positions:
1 K 0.0385 0.0385 0.8846  3 Pt 3.47, 3 In 3.47
2 K 0.2157 0.2157 0.3530  3 In 3.47, 3 Pt 3.47
3 Pt 0.4602 0.4602 0.6193  3 In 2.64
4 In 0.7938 0.7938 0.6187  3 Pt 2.64


K2InPt at its PBEsol-relaxed geometry. Source: Alexandria, functional meta-GGA SCAN.

Results
The value obtained for the density is 4.628 g/cm³. For the calculated total energy, the calculation gives -121.17 eV per cell.

abc: 3.4683 4.1132 10.1248
angles: 101.72 99.86 90.00
Closest atoms and distances in Å follow each position.
Fractional positions:
1 In 0.0000 0.5000 0.0000  4 Pt 2.69
2 K 0.8528 0.8528 0.7056  2 Pt 3.36, 2 K 3.47, 2 In 3.53
3 K 0.1472 0.1472 0.2944  2 Pt 3.36, 2 K 3.47, 2 In 3.53
4 Pt 0.5000 0.0000 0.0000  4 In 2.69


KInPtRh2 at its PBEsol-relaxed geometry. Source: Alexandria, functional meta-GGA SCAN.

Results
The value obtained for the density is 7.395 g/cm³. For the calculated total energy, the calculation gives -174.88 eV per cell.

abc: 4.7832 4.7832 5.4449
angles: 90.00 90.00 90.00
Closest atoms and distances in Å follow each position.
Fractional positions:
1 K 0.0000 0.0000 0.5000  2 Pt 2.72
2 Rh 0.0000 0.5000 0.0000  2 Pt 2.39
3 Rh 0.5000 0.0000 0.0000  2 Pt 2.39
4 Pt 0.0000 0.0000 0.0000  4 Rh 2.39
5 In 0.5000 0.5000 0.5000  4 K 3.38, 8 Rh 3.62


KRbIn3 at its PBEsol-relaxed geometry. Source: Alexandria, functional meta-GGA SCAN.

Results
The value obtained for the density is 3.205 g/cm³. For the calculated total energy, the calculation gives -126.05 eV per cell.

abc: 6.2406 6.2406 6.2406
angles: 90.00 90.00 90.00
Closest atoms and distances in Å follow each position.
Fractional positions:
1 K 0.5000 0.5000 0.5000  12 In 4.41
2 Rb 0.0000 0.0000 0.0000  6 In 3.12
3 In 0.0000 0.5000 0.0000  2 Rb 3.12
4 In 0.0000 0.0000 0.5000  2 Rb 3.12
5 In 0.5000 0.0000 0.0000  2 Rb 3.12


K4InRe at its PBEsol-relaxed geometry. Source: Alexandria, functional meta-GGA SCAN.

Results
The value obtained for the density is 3.649 g/cm³. For the calculated total energy, the calculation gives -130.23 eV per cell.

abc: 6.6520 6.6520 6.6520
angles: 60.00 60.00 60.00
Closest atoms and distances in Å follow each position.
Fractional positions:
1 In 0.0000 0.0000 0.0000  12 K 3.90, 4 Re 4.07
2 K 0.3753 0.3753 0.3753  6 K 3.32-3.33
3 K 0.3753 0.3753 0.8741  6 K 3.32-3.33
4 K 0.8741 0.3753 0.3753  6 K 3.32-3.33
5 K 0.3753 0.8741 0.3753  6 K 3.32-3.33
6 Re 0.7500 0.7500 0.7500  12 K 3.90, 4 In 4.07


KIn3Re at its PBEsol-relaxed geometry. Source: Alexandria, functional meta-GGA SCAN.

Results
The value obtained for the density is 5.547 g/cm³. For the calculated total energy, the calculation gives -168.69 eV per cell.

abc: 5.5457 5.5457 5.5457
angles: 90.00 90.00 90.00
Closest atoms and distances in Å follow each position.
Fractional positions:
1 Re 0.5000 0.5000 0.5000  12 In 3.92
2 K 0.0000 0.0000 0.0000  6 In 2.77
3 In 0.0000 0.5000 0.0000  2 K 2.77
4 In 0.0000 0.0000 0.5000  2 K 2.77
5 In 0.5000 0.0000 0.0000  2 K 2.77


KIn2Re at its PBEsol-relaxed geometry. Source: Alexandria, functional meta-GGA SCAN.

Results
The value obtained for the excess energy over the best structure of this formula in the dataset is 67 meV per atom. The value obtained for the density is 7.930 g/cm³. For the calculated total energy, the calculation gives -144.13 eV per cell.

abc: 2.8504 4.7642 7.3773
angles: 94.52 90.00 107.41
Closest atoms and distances in Å follow each position.
Fractional positions:
1 In 0.7634 0.5269 0.8152  3 Re 2.83-2.85, 4 In 2.85-3.10
2 In 0.2366 0.4731 0.1848  3 Re 2.83-2.85, 4 In 2.85-3.10
3 K 0.0000 0.0000 0.5000  2 K 2.85
4 Re 0.5000 0.0000 0.0000  6 In 2.83-2.85, 2 Re 2.85


| no. | energy relative to the elements (eV per atom) |
| --- | --- |
| 1 | -0.085 |
| 2 | -0.118 |
| 3 | -0.348 |
| 4 | -0.230 |
| 5 | -0.266 |
| 6 | -0.294 |
| 7 | -0.141 |
| 8 | -0.308 |
| 9 | -0.233 |
| 10 | 0.914 |
| 11 | 0.635 |
| 12 | 1.262 |
| 13 | 2.180 |
| 14 | 0.517 |